The following is a GGA-PBE calculation of La12Y7In after structural relaxation, from Alexandria.

Properties
* formation energy from the elements: 598 meV/atom

The structure in CIF format:
```
data_La12Y7In
_chemical_formula_sum 'La24 Y14 In2'
_cell_length_a 11.742
_cell_length_b 11.742
_cell_length_c 11.742
_cell_angle_alpha 90.00
_cell_angle_beta 90.00
_cell_angle_gamma 90.00
_symmetry_space_group_name_H-M 'I m -3 m'
_symmetry_Int_Tables_number 229
_symmetry_space_group_name_Hall '-I 4 2 3'
loop_
_atom_site_label
_atom_site_type_symbol
_atom_site_fract_x
_atom_site_fract_y
_atom_site_fract_z
La1 La 0.000 0.222 0.222
Y1 Y 0.000 0.000 0.500
Y2 Y 0.250 0.250 0.250
In1 In 0.000 0.000 0.000
```